PBE Ca2AsP, optimized geometry; energy above the lowest structure with this stoichiometry = 107 meV per atom; N(E_F) = 0.21 states/eV per cell
1.0
4.238 0.000 0.000
-0.020 4.240 0.000
-1.279 -1.261 5.453
Ca As P
2 1 1
Direct
0.132 0.189 0.534
0.542 0.605 0.087
0.995 0.057 0.990
0.669 0.727 0.617

PBE Ca2AsP, optimized geometry; energy above the lowest structure with this stoichiometry = 90 meV per atom; N(E_F) = 0.60 states/eV per cell
1.0
-3.378 -5.779 -4.082
3.937 -1.357 -1.337
0.402 -3.790 5.032
Ca As P
4 2 2
Direct
0.719 0.500 0.606
0.281 0.500 0.606
0.781 0.000 0.106
0.219 0.000 0.106
0.500 0.000 0.416
0.000 0.500 0.916
0.000 0.500 0.295
0.500 0.000 0.795

PBE Ca2AsP, optimized geometry; energy above the lowest structure with this stoichiometry = 254 meV per atom; N(E_F) = 1.79 states/eV per cell
1.0
-4.529 0.250 1.813
-3.986 -1.869 -2.116
-1.614 -4.588 2.252
Ca P As
2 1 1
Direct
0.495 0.495 0.509
0.005 0.005 0.991
0.750 0.750 0.750
0.250 0.250 0.250

PBE Ca2AsP, optimized geometry; energy above the lowest structure with this stoichiometry = 62 meV per atom; N(E_F) = 1.22 states/eV per cell
1.0
4.542 0.000 0.000
-2.271 3.934 0.000
0.000 0.000 34.654
Ca P As
12 6 6
Direct
0.667 0.333 0.280
0.333 0.667 0.707
0.000 0.000 0.784
0.667 0.333 0.117
0.333 0.667 0.196
0.333 0.667 0.613
0.667 0.333 0.373
0.000 0.000 0.529
0.000 0.000 0.040
0.333 0.667 0.450
0.000 0.000 0.947
0.667 0.333 0.863
0.000 0.000 0.162
0.000 0.000 0.405
0.667 0.333 0.495
0.333 0.667 0.829
0.667 0.333 0.738
0.333 0.667 0.071
0.000 0.000 0.332
0.333 0.667 0.999
0.667 0.333 0.568
0.000 0.000 0.234
0.333 0.667 0.901
0.667 0.333 0.665